YTi2NbS: optimized geometry, PBE.

Unit cell a=4.894 b=4.894 c=4.847 alpha=90.00 beta=90.00 gamma=90.00
Fractional positions:
1 Y 0.000 0.000 0.000
2 Ti 0.000 0.500 0.000
3 Ti 0.500 0.000 0.000
4 Nb 0.500 0.500 0.500
5 S 0.000 0.000 0.500

SG ... P4/mmm (123)
Uncorrected energy ... -5.869 eV per atom